5
Lattice="-4.924 0.091 2.167 -2.165 -0.505 -4.900 0.121 -5.356 0.499" Properties=species:S:1:pos:R:3 comment="PBE KPdS3, optimized geometry" e_form_raw_ev_per_fu=7.9 e_tot_ev_per_atom=-2.16 pbc="T T T"
K 0.000 0.000 0.000
S -1.083 -0.253 -2.450
S 0.060 -2.678 0.249
S -2.462 0.045 1.083
Pd -3.484 -2.885 -1.117